This record from Alexandria describes a relaxed BaCa2Ta crystal. The functional is GGA-PBE.

Symmetry = I4/mmm, No. 139
ΔE_f = 0.8493 eV per atom
Relative energy among the computed polymorphs = 18.71 kJ per mole of atoms
Volume = 279.5 Å³/cell

Cell lengths 5.311, 5.311, 9.907 Å; angles 90.00, 90.00, 90.00 degrees
Atoms (fractional coordinates):
Ba  0.000  0.000  0.000
Ba  0.500  0.500  0.500
Ca  0.000  0.500  0.250
Ca  0.000  0.500  0.750
Ca  0.500  0.000  0.250
Ca  0.500  0.000  0.750
Ta  0.000  0.000  0.500
Ta  0.500  0.500  0.000